[1]
VASP calculation (PBE) on a geometry-optimized In2Bi5Pb5 structure.

Space-group type   P-1 (2)
Total magnetization   0.00 Bohr magnetons per cell
ΔE_f   0.043 eV/atom

a = 3.534 Å, b = 9.166 Å, c = 11.864 Å
α = 88.15°, β = 88.86°, γ = 81.05°
Element x y z (fractional)
In1 0.155 0.160 0.257
In2 0.845 0.840 0.743
Bi1 0.307 0.837 0.985
Bi2 0.486 0.485 0.256
Bi3 0.500 0.000 0.500
Bi4 0.514 0.515 0.744
Bi5 0.693 0.163 0.015
Pb1 0.000 0.500 0.000
Pb2 0.201 0.670 0.492
Pb3 0.229 0.175 0.765
Pb4 0.771 0.825 0.235
Pb5 0.799 0.330 0.508

---

[2]
VASP calculation (PBE) on a geometry-optimized InBi4Pb5 structure.

Space-group type   P-1 (2)
Total magnetization   0.00 Bohr magnetons per cell
ΔE_f   0.040 eV/atom
Excess energy over the best structure of this formula in the dataset   0 meV/atom

a = 3.459 Å, b = 5.257 Å, c = 17.450 Å
α = 88.16°, β = 87.60°, γ = 89.36°
Element x y z (fractional)
In1 0.000 0.000 0.000
Bi1 0.007 0.997 0.599
Bi2 0.033 0.992 0.806
Bi3 0.967 0.008 0.194
Bi4 0.993 0.003 0.401
Pb1 0.354 0.507 0.300
Pb2 0.442 0.511 0.100
Pb3 0.500 0.500 0.500
Pb4 0.558 0.489 0.900
Pb5 0.646 0.493 0.700

---

[3]
VASP calculation (PBE) on a geometry-optimized InBi4Pb3 structure.

Space-group type   Pmn2_1 (31)
Total magnetization   0.00 Bohr magnetons per cell
ΔE_f   0.037 eV/atom
Excess energy over the best structure of this formula in the dataset   0 meV/atom

a = 10.884 Å, b = 6.950 Å, c = 6.821 Å
α = 90.00°, β = 90.00°, γ = 90.00°
Element x y z (fractional)
In1 0.000 0.031 0.000
In2 0.500 0.969 0.500
Bi1 0.000 0.533 0.009
Bi2 0.000 0.990 0.534
Bi3 0.249 0.271 0.162
Bi4 0.251 0.729 0.662
Bi5 0.500 0.010 0.034
Bi6 0.500 0.467 0.509
Bi7 0.749 0.729 0.662
Bi8 0.751 0.271 0.162
Pb1 0.000 0.469 0.495
Pb2 0.240 0.778 0.183
Pb3 0.260 0.222 0.683
Pb4 0.500 0.531 0.995
Pb5 0.740 0.222 0.683
Pb6 0.760 0.778 0.183

---

[4]
VASP calculation (PBE) on a geometry-optimized In2BiPb2 structure.

Space-group type   P4/mbm (127)
Total magnetization   0.00 Bohr magnetons per cell
ΔE_f   0.089 eV/atom
Excess energy over the best structure of this formula in the dataset   50 meV/atom

a = 8.165 Å, b = 8.165 Å, c = 4.654 Å
α = 90.00°, β = 90.00°, γ = 90.00°
Element x y z (fractional)
In1 0.129 0.371 0.000
In2 0.371 0.871 0.000
In3 0.629 0.129 0.000
In4 0.871 0.629 0.000
Bi1 0.000 0.000 0.000
Bi2 0.500 0.500 0.000
Pb1 0.179 0.679 0.500
Pb2 0.321 0.179 0.500
Pb3 0.679 0.821 0.500
Pb4 0.821 0.321 0.500

---

[5]
VASP calculation (PBE) on a geometry-optimized InBi2Pb3 structure.

Space-group type   Cmmm (65)
Total magnetization   0.00 Bohr magnetons per cell
ΔE_f   0.023 eV/atom
Excess energy over the best structure of this formula in the dataset   0 meV/atom

a = 7.772 Å, b = 7.772 Å, c = 4.873 Å
α = 90.00°, β = 90.00°, γ = 140.37°
Element x y z (fractional)
In1 0.000 0.000 0.000
Bi1 0.331 0.669 0.000
Bi2 0.669 0.331 0.000
Pb1 0.160 0.840 0.500
Pb2 0.500 0.500 0.500
Pb3 0.840 0.160 0.500

---

[6]
VASP calculation (PBE) on a geometry-optimized In15BiPb4 structure.

Space-group type   P4/mmm (123)
Total magnetization   0.00 Bohr magnetons per cell
ΔE_f   0.012 eV/atom

a = 5.087 Å, b = 5.087 Å, c = 22.013 Å
α = 90.00°, β = 90.00°, γ = 90.00°
Element x y z (fractional)
In1 0.000 0.000 0.000
In2 0.000 0.000 0.200
In3 0.000 0.000 0.399
In4 0.000 0.000 0.601
In5 0.000 0.000 0.800
In6 0.000 0.500 0.101
In7 0.000 0.500 0.300
In8 0.000 0.500 0.500
In9 0.000 0.500 0.700
In10 0.000 0.500 0.899
In11 0.500 0.000 0.101
In12 0.500 0.000 0.300
In13 0.500 0.000 0.500
In14 0.500 0.000 0.700
In15 0.500 0.000 0.899
Bi1 0.500 0.500 0.000
Pb1 0.500 0.500 0.202
Pb2 0.500 0.500 0.401
Pb3 0.500 0.500 0.599
Pb4 0.500 0.500 0.798

---

- total magnetization of number 6 (In15BiPb4)?
  0.00 Bohr magnetons per cell

---

Repeat the sixth record exactly.
VASP calculation (PBE) on a geometry-optimized In15BiPb4 structure.

Space-group type   P4/mmm (123)
Total magnetization   0.00 Bohr magnetons per cell
ΔE_f   0.012 eV/atom

a = 5.087 Å, b = 5.087 Å, c = 22.013 Å
α = 90.00°, β = 90.00°, γ = 90.00°
Element x y z (fractional)
In1 0.000 0.000 0.000
In2 0.000 0.000 0.200
In3 0.000 0.000 0.399
In4 0.000 0.000 0.601
In5 0.000 0.000 0.800
In6 0.000 0.500 0.101
In7 0.000 0.500 0.300
In8 0.000 0.500 0.500
In9 0.000 0.500 0.700
In10 0.000 0.500 0.899
In11 0.500 0.000 0.101
In12 0.500 0.000 0.300
In13 0.500 0.000 0.500
In14 0.500 0.000 0.700
In15 0.500 0.000 0.899
Bi1 0.500 0.500 0.000
Pb1 0.500 0.500 0.202
Pb2 0.500 0.500 0.401
Pb3 0.500 0.500 0.599
Pb4 0.500 0.500 0.798